# 1
VASP calculation (GGA-PBE) on crystalline LaTh2Co9 at its relaxed geometry.

Summary:
DFT total energy   -7.11 eV per atom
Space-group type   R-3m, No. 166

a b c (Å): 8.829 8.829 8.829
angles (deg): 33.00 33.00 33.00
Positions (direct):
La (0.000, 0.000, 0.000)
Th (0.137, 0.137, 0.137)
Th (0.863, 0.863, 0.863)
Co (0.082, 0.580, 0.580)
Co (0.333, 0.333, 0.333)
Co (0.420, 0.420, 0.918)
Co (0.420, 0.918, 0.420)
Co (0.500, 0.500, 0.500)
Co (0.580, 0.082, 0.580)
Co (0.580, 0.580, 0.082)
Co (0.667, 0.667, 0.667)
Co (0.918, 0.420, 0.420)


# 2
VASP calculation (GGA-PBE) on crystalline LaThZnCo at its relaxed geometry.

Summary:
DFT total energy   -5.25 eV per atom
Space-group type   F-43m, No. 216

a b c (Å): 5.088 5.088 5.088
angles (deg): 60.00 60.00 60.00
Positions (direct):
La (0.000, 0.000, 0.000)
Th (0.500, 0.500, 0.500)
Zn (0.750, 0.750, 0.750)
Co (0.250, 0.250, 0.250)


# 3
VASP calculation (GGA-PBE) on crystalline LaTi2Co at its relaxed geometry.

Summary:
Energy above the lowest structure with this stoichiometry   0.324 eV/atom
Space-group type   I4_1/amd, No. 141

a b c (Å): 8.997 8.997 8.997
angles (deg): 149.27 149.27 44.02
Positions (direct):
La (0.375, 0.625, 0.750)
La (0.625, 0.375, 0.250)
Ti (0.000, 0.000, 0.000)
Ti (0.000, 0.000, 0.500)
Ti (0.000, 0.500, 0.000)
Ti (0.500, 0.000, 0.500)
Co (0.125, 0.875, 0.250)
Co (0.875, 0.125, 0.750)


# 4
VASP calculation (GGA-PBE) on crystalline LaTi3Co at its relaxed geometry.

Summary:
Energy above the lowest structure with this stoichiometry   1.546 eV/atom
Space-group type   Pm-3m, No. 221

a b c (Å): 4.714 4.714 4.714
angles (deg): 90.00 90.00 90.00
Positions (direct):
La (0.000, 0.000, 0.000)
Ti (0.000, 0.000, 0.500)
Ti (0.000, 0.500, 0.000)
Ti (0.500, 0.000, 0.000)
Co (0.500, 0.500, 0.500)


# 5
VASP calculation (GGA-PBE) on crystalline LaTi3Co at its relaxed geometry.

Summary:
Energy above the lowest structure with this stoichiometry   0.000 eV/atom
Space-group type   Pm-3m, No. 221

a b c (Å): 4.666 4.666 4.666
angles (deg): 90.00 90.00 90.00
Positions (direct):
La (0.000, 0.000, 0.000)
Ti (0.000, 0.500, 0.500)
Ti (0.500, 0.000, 0.500)
Ti (0.500, 0.500, 0.000)
Co (0.500, 0.500, 0.500)


# 6
VASP calculation (GGA-PBE) on crystalline LaTi2Co at its relaxed geometry.

Summary:
Energy above the lowest structure with this stoichiometry   0.000 eV/atom
Space-group type   Fm-3m, No. 225

a b c (Å): 4.598 4.598 4.598
angles (deg): 60.00 60.00 60.00
Positions (direct):
La (0.000, 0.000, 0.000)
Ti (0.250, 0.250, 0.250)
Ti (0.750, 0.750, 0.750)
Co (0.500, 0.500, 0.500)


# 7
VASP calculation (GGA-PBE) on crystalline LaTiCo2 at its relaxed geometry.

Summary:
Energy above the lowest structure with this stoichiometry   0.000 eV/atom
Space-group type   P4/mmm, No. 123

a b c (Å): 3.073 3.073 7.007
angles (deg): 90.00 90.00 90.00
Positions (direct):
La (0.000, 0.000, 0.000)
Ti (0.000, 0.000, 0.500)
Co (0.500, 0.500, 0.310)
Co (0.500, 0.500, 0.690)


# 8
VASP calculation (GGA-PBE) on crystalline LaTiCo2 at its relaxed geometry.

Summary:
Energy above the lowest structure with this stoichiometry   0.225 eV/atom
Space-group type   Fm-3m, No. 225

a b c (Å): 4.578 4.578 4.578
angles (deg): 60.00 60.00 60.00
Positions (direct):
La (0.000, 0.000, 0.000)
Ti (0.500, 0.500, 0.500)
Co (0.250, 0.250, 0.250)
Co (0.750, 0.750, 0.750)


# 9
VASP calculation (GGA-PBE) on crystalline La2Ti2Co at its relaxed geometry.

Summary:
DFT total energy   -6.39 eV per atom
Space-group type   P4/mbm, No. 127

a b c (Å): 6.476 6.476 5.323
angles (deg): 90.00 90.00 90.00
Positions (direct):
La (0.172, 0.328, 0.000)
La (0.328, 0.828, 0.000)
La (0.672, 0.172, 0.000)
La (0.828, 0.672, 0.000)
Ti (0.159, 0.659, 0.500)
Ti (0.341, 0.159, 0.500)
Ti (0.659, 0.841, 0.500)
Ti (0.841, 0.341, 0.500)
Co (0.000, 0.000, 0.500)
Co (0.500, 0.500, 0.500)


# 10
VASP calculation (GGA-PBE) on crystalline LaTiCo2 at its relaxed geometry.

Summary:
Energy above the lowest structure with this stoichiometry   0.346 eV/atom
Space-group type   I-42d, No. 122

a b c (Å): 5.721 5.721 5.721
angles (deg): 105.88 105.88 116.93
Positions (direct):
La (0.000, 0.000, 0.000)
La (0.750, 0.250, 0.500)
Ti (0.250, 0.750, 0.500)
Ti (0.500, 0.500, 0.000)
Co (0.163, 0.625, 0.038)
Co (0.375, 0.413, 0.538)
Co (0.587, 0.125, 0.962)
Co (0.875, 0.837, 0.462)


# 11
VASP calculation (GGA-PBE) on crystalline La3TlCo3 at its relaxed geometry.

Summary:
DFT total energy   -5.64 eV per atom
Space-group type   P6_3/m, No. 176

a b c (Å): 10.285 10.285 3.811
angles (deg): 90.00 90.00 120.00
Positions (direct):
La (0.059, 0.692, 0.250)
La (0.308, 0.368, 0.250)
La (0.368, 0.059, 0.750)
La (0.632, 0.941, 0.250)
La (0.692, 0.632, 0.750)
La (0.941, 0.308, 0.750)
Tl (0.333, 0.667, 0.750)
Tl (0.667, 0.333, 0.250)
Co (0.023, 0.871, 0.750)
Co (0.129, 0.152, 0.750)
Co (0.152, 0.023, 0.250)
Co (0.848, 0.977, 0.750)
Co (0.871, 0.848, 0.250)
Co (0.977, 0.129, 0.250)


# 12
VASP calculation (GGA-PBE) on crystalline La5TlCo2 at its relaxed geometry.

Summary:
DFT total energy   -5.31 eV per atom
Space-group type   Immm, No. 71

a b c (Å): 8.915 8.915 8.915
angles (deg): 154.07 131.82 55.52
Positions (direct):
La (0.000, 0.000, 0.000)
La (0.106, 0.346, 0.759)
La (0.413, 0.654, 0.759)
La (0.587, 0.346, 0.241)
La (0.894, 0.654, 0.241)
Tl (0.500, 0.000, 0.500)
Co (0.189, 0.189, 0.000)
Co (0.811, 0.811, 0.000)


# 13
VASP calculation (GGA-PBE) on crystalline La5TlCo at its relaxed geometry.

Summary:
DFT total energy   -5.01 eV per atom
Space-group type   P4/mmm, No. 123

a b c (Å): 5.012 5.012 8.361
angles (deg): 90.00 90.00 90.00
Positions (direct):
La (0.000, 0.000, 0.000)
La (0.000, 0.500, 0.308)
La (0.000, 0.500, 0.692)
La (0.500, 0.000, 0.308)
La (0.500, 0.000, 0.692)
Tl (0.500, 0.500, 0.000)
Co (0.000, 0.000, 0.500)